Entry 1:
! AcPaCN (PBE, relaxed); values from VASP
! total magnetization: 0.00 μB per cell
! calculated total energy: -0.3151 Ha/atom
! SG: R3m (160)
&SYSTEM
  ibrav = 0, nat = 4, ntyp = 4
/
ATOMIC_SPECIES
Ac 227.00 Ac.upf
N 14.01 N.upf
Pa 231.04 Pa.upf
C 12.01 C.upf
ATOMIC_POSITIONS crystal
Ac 0.749 0.749 0.754
N 0.522 0.522 0.435
Pa 0.249 0.249 0.254
C 0.981 0.981 0.058
CELL_PARAMETERS angstrom
-1.885 -3.080 0.828
0.679 -1.791 3.172
-4.744 1.804 4.198

Entry 2:
! Ca2TaBeAg (PBE, relaxed); values from VASP
! ΔE_f: 6.291 eV per formula unit
! total magnetization: 0.01 μB per cell
! calculated total energy: -0.1186 Ha/atom
! SG: P4/mmm (123)
&SYSTEM
  ibrav = 0, nat = 5, ntyp = 4
/
ATOMIC_SPECIES
Ag 107.87 Ag.upf
Ta 180.95 Ta.upf
Ca 40.08 Ca.upf
Be 9.01 Be.upf
ATOMIC_POSITIONS crystal
Ag 0.000 0.000 0.000
Ta 0.000 0.500 0.000
Ca 0.500 0.000 0.000
Ca 0.000 0.000 0.500
Be 0.500 0.500 0.500
CELL_PARAMETERS angstrom
-2.868 4.660 0.001
-3.927 -2.417 2.121
1.948 1.197 4.971

Entry 3:
! Sr2CaTlP (PBE, relaxed); values from VASP
! ΔE_f: -3.005 eV per formula unit
! total magnetization: 0.00 μB per cell
! offset from the most stable computed form: 0.000 eV per atom
! calculated total energy: -0.1187 Ha/atom
! SG: P4/mmm (123)
&SYSTEM
  ibrav = 0, nat = 5, ntyp = 4
/
ATOMIC_SPECIES
Sr 87.62 Sr.upf
Ca 40.08 Ca.upf
Tl 204.38 Tl.upf
P 30.97 P.upf
ATOMIC_POSITIONS crystal
Sr 0.000 0.500 0.000
Ca 0.000 0.000 0.500
Sr 0.500 0.000 0.000
Tl 0.500 0.500 0.500
P 0.000 0.000 0.000
CELL_PARAMETERS angstrom
-4.385 -1.693 3.550
3.610 -3.845 2.624
1.448 3.827 3.614

Entry 4:
! Rb2Ba2Hg15 (PBE, relaxed); values from VASP
! ΔE_f: -4.000 eV per formula unit
! total magnetization: 0.00 μB per cell
! calculated total energy: -0.0277 Ha/atom
! SG: R-3m (166)
&SYSTEM
  ibrav = 0, nat = 19, ntyp = 3
/
ATOMIC_SPECIES
Hg 200.59 Hg.upf
Rb 85.47 Rb.upf
Ba 137.33 Ba.upf
ATOMIC_POSITIONS crystal
Hg 0.297 0.000 0.703
Hg 0.000 0.703 0.297
Hg 0.000 0.000 0.500
Hg 0.500 0.000 0.000
Hg 0.374 0.374 0.855
Rb 0.654 0.654 0.654
Hg 0.000 0.297 0.703
Hg 0.855 0.374 0.374
Ba 0.103 0.103 0.103
Hg 0.703 0.000 0.297
Hg 0.703 0.297 0.000
Hg 0.626 0.145 0.626
Hg 0.145 0.626 0.626
Hg 0.297 0.703 0.000
Hg 0.374 0.855 0.374
Hg 0.000 0.500 0.000
Ba 0.897 0.897 0.897
Hg 0.626 0.626 0.145
Rb 0.346 0.346 0.346
CELL_PARAMETERS angstrom
-6.429 3.264 -4.949
-4.562 -7.100 -2.292
-6.834 0.167 5.453

Entry 5:
! PbC2S (PBE, relaxed); values from VASP
! total magnetization: 0.00 μB per cell
! offset from the most stable computed form: 0.000 eV per atom
! calculated total energy: -0.1838 Ha/atom
! SG: I-42d (122)
&SYSTEM
  ibrav = 0, nat = 8, ntyp = 3
/
ATOMIC_SPECIES
C 12.01 C.upf
S 32.06 S.upf
Pb 207.20 Pb.upf
ATOMIC_POSITIONS crystal
C 0.375 0.503 0.750
S 0.250 0.750 0.500
C 0.875 0.747 0.750
Pb 0.750 0.250 0.500
Pb 0.000 0.000 0.000
C 0.497 0.125 0.250
C 0.253 0.625 0.250
S 0.500 0.500 0.000
CELL_PARAMETERS angstrom
5.658 0.000 0.000
0.000 5.658 0.000
2.829 2.829 3.498